Run one
A plane-wave DFT calculation with GGA-PBE was carried out for a relaxed structure of Y2HgOsC.

Geometry as POSCAR:
```
Y2HgOsC
1.0
-1.721 2.303 4.138
3.259 -2.619 2.812
2.679 2.835 -0.464
Y C Os Hg
2 1 1 1
Direct
0.500 0.000 0.000
0.000 0.500 0.000
0.000 0.000 0.000
0.000 0.000 0.500
0.500 0.500 0.500
```

Computed properties:
As for the crystal system: tetragonal. The space-group type is No. 123.

---

Run two
A plane-wave DFT calculation with GGA-PBE was carried out for a relaxed structure of Y2HgOsC.

Geometry as POSCAR:
```
Y2HgOsC
1.0
-0.784 -3.386 -4.245
1.633 -2.936 2.040
-4.928 -1.357 1.993
Os Y Hg C
1 2 1 1
Direct
0.000 0.000 0.000
0.500 0.000 0.000
0.000 0.000 0.500
0.500 0.500 0.500
0.000 0.500 0.000
```

Computed properties:
As for the crystal system: tetragonal. The space-group type is No. 123.

---

Each structure's energy above the most stable one, in eV/atom: run one 0.000; run two 0.631.

---

Run one
A plane-wave DFT calculation with GGA-PBE was carried out for a relaxed structure of Hg2PC.

Geometry as POSCAR:
```
Hg2PC
1.0
5.660 0.000 0.000
0.000 5.660 0.000
2.830 2.830 5.297
C Hg P
2 4 2
Direct
0.250 0.750 0.500
0.500 0.500 0.000
0.570 0.125 0.250
0.375 0.430 0.750
0.875 0.820 0.750
0.180 0.625 0.250
0.750 0.250 0.500
0.000 0.000 0.000
```

Computed properties:
As for the crystal system: tetragonal. The space-group type is No. 122.

---

Run two
A plane-wave DFT calculation with GGA-PBE was carried out for a relaxed structure of Hg2PC.

Geometry as POSCAR:
```
Hg2PC
1.0
-1.805 -4.269 0.317
-2.347 -1.253 3.809
-4.603 -0.596 -0.199
Hg C P
2 1 1
Direct
0.250 0.250 0.250
0.750 0.750 0.750
0.000 0.000 0.000
0.500 0.500 0.500
```

Computed properties:
As for the crystal system: cubic. The space-group type is No. 225.

---

Each structure's energy above the most stable one, in eV/atom: run one 0.000; run two 0.394.

---

Run one
A plane-wave DFT calculation with GGA-PBE was carried out for a relaxed structure of HgP2C.

Geometry as POSCAR:
```
HgP2C
1.0
-4.169 0.594 3.400
3.229 -1.213 4.171
0.540 4.030 4.266
Hg C P
2 2 4
Direct
0.000 0.000 0.000
0.750 0.250 0.500
0.250 0.750 0.500
0.500 0.500 0.000
0.375 0.470 0.750
0.530 0.125 0.250
0.220 0.625 0.250
0.875 0.780 0.750
```

Computed properties:
As for the crystal system: tetragonal. The space-group type is No. 122.

---

Run two
A plane-wave DFT calculation with GGA-PBE was carried out for a relaxed structure of HgP2C.

Geometry as POSCAR:
```
HgP2C
1.0
0.000 3.160 3.160
3.160 0.000 3.160
3.160 3.160 0.000
C P Hg
1 2 1
Direct
0.000 0.000 0.000
0.750 0.750 0.750
0.250 0.250 0.250
0.500 0.500 0.500
```

Computed properties:
As for the crystal system: cubic. The space-group type is No. 225.

---

Each structure's energy above the most stable one, in eV/atom: run one 0.000; run two 1.315.

---

Run one
A plane-wave DFT calculation with GGA-PBE was carried out for a relaxed structure of HgPC2.

Geometry as POSCAR:
```
HgPC2
1.0
0.000 2.940 2.940
2.940 0.000 2.940
2.940 2.940 0.000
C Hg P
2 1 1
Direct
0.750 0.750 0.750
0.250 0.250 0.250
0.500 0.500 0.500
0.000 0.000 0.000
```

Computed properties:
As for the crystal system: cubic. The space-group type is No. 225.

---

Run two
A plane-wave DFT calculation with GGA-PBE was carried out for a relaxed structure of HgPC2.

Geometry as POSCAR:
```
HgPC2
1.0
-3.280 -2.069 -3.046
3.265 -3.520 -1.125
-1.443 -5.126 1.044
P Hg C
2 2 4
Direct
0.500 0.500 0.000
0.250 0.750 0.500
0.750 0.250 0.500
0.000 0.000 0.000
0.375 0.467 0.750
0.217 0.625 0.250
0.875 0.783 0.750
0.533 0.125 0.250
```

Computed properties:
As for the crystal system: tetragonal. The space-group type is No. 122.

---

Each structure's energy above the most stable one, in eV/atom: run one 1.690; run two 0.000.

---

Run one
A plane-wave DFT calculation with GGA-PBE was carried out for a relaxed structure of HgP3C.

Geometry as POSCAR:
```
HgP3C
1.0
-2.358 0.584 -3.446
2.525 -2.590 -2.166
-2.417 -3.275 1.099
P Hg C
3 1 1
Direct
0.000 0.000 0.500
0.000 0.500 0.000
0.500 0.000 0.000
0.500 0.500 0.500
0.000 0.000 0.000
```

Computed properties:
As for the crystal system: cubic. The space-group type is No. 221.

---

Run two
A plane-wave DFT calculation with GGA-PBE was carried out for a relaxed structure of HgP3C.

Geometry as POSCAR:
```
HgP3C
1.0
4.960 0.000 0.000
0.000 4.960 0.000
0.000 0.000 4.960
C Hg P
1 1 3
Direct
0.500 0.500 0.500
0.000 0.000 0.000
0.000 0.000 0.500
0.500 0.000 0.000
0.000 0.500 0.000
```

Computed properties:
As for the crystal system: cubic. The space-group type is No. 221.

---

Each structure's energy above the most stable one, in eV/atom: run one 0.000; run two 1.549.

---

Run one
A plane-wave DFT calculation with GGA-PBE was carried out for a relaxed structure of Pa2HgC.

Geometry as POSCAR:
```
Pa2HgC
1.0
3.388 0.000 0.000
1.694 2.934 0.000
1.694 0.978 8.395
Hg Pa C
1 2 1
Direct
0.500 0.500 0.499
0.275 0.275 0.175
0.059 0.059 0.823
0.666 0.666 0.003
```

Computed properties:
As for the crystal system: trigonal. The space-group type is No. 160.

---

Run two
A plane-wave DFT calculation with GGA-PBE was carried out for a relaxed structure of Pa2HgC.

Geometry as POSCAR:
```
Pa2HgC
1.0
3.363 0.000 0.000
1.681 2.912 0.000
1.681 0.971 8.577
Hg Pa C
1 2 1
Direct
0.500 0.500 0.500
0.724 0.724 0.827
0.276 0.276 0.173
0.000 0.000 0.000
```

Computed properties:
As for the crystal system: trigonal. The space-group type is No. 166.

---

Run three
A plane-wave DFT calculation with GGA-PBE was carried out for a relaxed structure of Pa2HgC.

Geometry as POSCAR:
```
Pa2HgC
1.0
-2.486 0.981 1.564
-1.790 -0.634 -2.446
-1.161 -7.320 2.746
Pa Hg C
2 1 1
Direct
0.000 0.000 0.817
0.000 0.000 0.183
0.500 0.500 0.500
0.500 0.500 0.000
```

Computed properties:
As for the crystal system: tetragonal. The space-group type is No. 123.

---

Each structure's energy above the most stable one, in eV/atom: run one 0.000; run two 0.022; run three 0.300.

---

Run one
A plane-wave DFT calculation with GGA-PBE was carried out for a relaxed structure of HgPb2C.

Geometry as POSCAR:
```
HgPb2C
1.0
4.510 2.327 0.575
0.808 3.045 4.020
3.176 -1.470 3.720
Pb C Hg
2 1 1
Direct
0.250 0.250 0.250
0.750 0.750 0.750
0.000 0.000 0.000
0.500 0.500 0.500
```

Computed properties:
As for the crystal system: cubic. The space-group type is No. 225.

---

Run two
A plane-wave DFT calculation with GGA-PBE was carried out for a relaxed structure of HgPb2C.

Geometry as POSCAR:
```
HgPb2C
1.0
6.526 0.000 0.000
0.000 6.526 0.000
3.263 3.263 5.268
Pb Hg C
4 2 2
Direct
0.875 0.793 0.750
0.375 0.457 0.750
0.543 0.125 0.250
0.207 0.625 0.250
0.000 0.000 0.000
0.750 0.250 0.500
0.250 0.750 0.500
0.500 0.500 0.000
```

Computed properties:
As for the crystal system: tetragonal. The space-group type is No. 122.

---

Each structure's energy above the most stable one, in eV/atom: run one 0.386; run two 0.000.

---

Run one
A plane-wave DFT calculation with GGA-PBE was carried out for a relaxed structure of Hg3PbC.

Geometry as POSCAR:
```
Hg3PbC
1.0
-4.071 1.547 -4.044
-4.075 -3.247 2.859
-1.466 4.731 3.285
Hg C Pb
3 1 1
Direct
0.000 0.500 0.000
0.000 0.000 0.500
0.500 0.000 0.000
0.500 0.500 0.500
0.000 0.000 0.000
```

Computed properties:
As for the crystal system: cubic. The space-group type is No. 221.

---

Run two
A plane-wave DFT calculation with GGA-PBE was carried out for a relaxed structure of Hg3PbC.

Geometry as POSCAR:
```
Hg3PbC
1.0
-1.446 -4.525 1.175
2.289 -1.757 -3.952
4.076 -0.618 2.636
Hg Pb C
3 1 1
Direct
0.000 0.500 0.000
0.500 0.000 0.000
0.000 0.000 0.500
0.500 0.500 0.500
0.000 0.000 0.000
```

Computed properties:
As for the crystal system: cubic. The space-group type is No. 221.

---

Each structure's energy above the most stable one, in eV/atom: run one 0.571; run two 0.000.

---

Run one
A plane-wave DFT calculation with GGA-PBE was carried out for a relaxed structure of HgPd2C.

Geometry as POSCAR:
```
HgPd2C
1.0
0.000 3.129 3.129
3.129 0.000 3.129
3.129 3.129 0.000
C Hg Pd
1 1 2
Direct
0.000 0.000 0.000
0.500 0.500 0.500
0.750 0.750 0.750
0.250 0.250 0.250
```

Computed properties:
As for the crystal system: cubic. The space-group type is No. 225.

---

Run two
A plane-wave DFT calculation with GGA-PBE was carried out for a relaxed structure of HgPd2C.

Geometry as POSCAR:
```
HgPd2C
1.0
6.545 0.000 0.000
0.000 6.545 0.000
3.273 3.273 3.045
Pd C Hg
4 2 2
Direct
0.375 0.493 0.750
0.243 0.625 0.250
0.875 0.757 0.750
0.507 0.125 0.250
0.250 0.750 0.500
0.500 0.500 0.000
0.750 0.250 0.500
0.000 0.000 0.000
```

Computed properties:
As for the crystal system: tetragonal. The space-group type is No. 122.

---

Each structure's energy above the most stable one, in eV/atom: run one 0.737; run two 0.000.

---

Run one
A plane-wave DFT calculation with GGA-PBE was carried out for a relaxed structure of Pm4Hg2C.

Geometry as POSCAR:
```
Pm4Hg2C
1.0
-4.405 2.177 -1.358
-2.556 -3.489 2.699
-3.150 3.811 6.759
Pm Hg C
4 2 1
Direct
0.000 0.500 0.000
0.500 0.000 0.000
0.833 0.833 0.334
0.167 0.167 0.666
0.371 0.371 0.259
0.629 0.629 0.741
0.000 0.000 0.000
```

Computed properties:
As for the crystal system: tetragonal. The space-group type is No. 139.

---

Run two
A plane-wave DFT calculation with GGA-PBE was carried out for a relaxed structure of Pm4Hg2C.

Geometry as POSCAR:
```
Pm4Hg2C
1.0
-1.287 -5.026 4.114
6.157 -2.522 -1.155
3.883 7.338 4.672
C Pm Hg
2 8 4
Direct
0.754 0.250 0.813
0.246 0.750 0.187
0.497 0.998 0.726
0.088 0.750 0.926
0.503 0.498 0.274
0.055 0.750 0.354
0.497 0.502 0.726
0.945 0.250 0.646
0.912 0.250 0.074
0.503 0.002 0.274
0.206 0.250 0.423
0.337 0.250 0.964
0.663 0.750 0.036
0.794 0.750 0.577
```

Computed properties:
As for the crystal system: monoclinic. The space-group type is No. 11.

---

Each structure's energy above the most stable one, in eV/atom: run one 0.000; run two 0.080.

---

Run one
A plane-wave DFT calculation with GGA-PBE was carried out for a relaxed structure of Pm3HgC.

Geometry as POSCAR:
```
Pm3HgC
1.0
-1.079 -0.302 3.565
7.363 -4.800 1.822
7.544 12.852 3.370
Pm Hg C
12 4 4
Direct
0.750 0.322 0.005
0.250 0.785 0.697
0.250 0.525 0.402
0.750 0.822 0.495
0.750 0.215 0.303
0.250 0.025 0.098
0.750 0.975 0.902
0.750 0.715 0.197
0.750 0.475 0.598
0.250 0.178 0.505
0.250 0.678 0.995
0.250 0.285 0.803
0.750 0.083 0.673
0.750 0.583 0.827
0.250 0.917 0.327
0.250 0.417 0.173
0.250 0.655 0.553
0.750 0.845 0.053
0.250 0.155 0.947
0.750 0.345 0.447
```

Computed properties:
As for the crystal system: orthorhombic. The space-group type is No. 62.

---

Run two
A plane-wave DFT calculation with GGA-PBE was carried out for a relaxed structure of Pm3HgC.

Geometry as POSCAR:
```
Pm3HgC
1.0
-3.199 -2.414 -3.089
0.073 -4.023 3.068
-3.920 1.895 2.578
Pm C Hg
3 1 1
Direct
0.000 0.000 0.500
0.500 0.000 0.000
0.000 0.500 0.000
0.000 0.000 0.000
0.500 0.500 0.500
```

Computed properties:
As for the crystal system: cubic. The space-group type is No. 221.

---

Each structure's energy above the most stable one, in eV/atom: run one 0.000; run two 0.053.

---

Run one
A plane-wave DFT calculation with GGA-PBE was carried out for a relaxed structure of Pm6Hg2C.

Geometry as POSCAR:
```
Pm6Hg2C
1.0
-3.185 -4.859 3.946
5.415 -4.651 -1.356
5.001 3.432 8.204
Hg C Pm
4 2 12
Direct
0.475 0.047 0.249
0.025 0.547 0.251
0.525 0.953 0.751
0.975 0.453 0.749
0.500 0.500 0.000
0.000 0.000 0.500
0.295 0.778 0.042
0.795 0.722 0.542
0.219 0.291 0.045
0.909 0.983 0.259
0.091 0.017 0.741
0.409 0.517 0.759
0.781 0.709 0.955
0.205 0.278 0.458
0.719 0.209 0.545
0.705 0.222 0.958
0.281 0.791 0.455
0.591 0.483 0.241
```

Computed properties:
As for the crystal system: monoclinic. The space-group type is No. 14.

---

Run two
A plane-wave DFT calculation with GGA-PBE was carried out for a relaxed structure of Pm6Hg2C.

Geometry as POSCAR:
```
Pm6Hg2C
1.0
-3.515 -3.788 -4.850
-0.344 -5.455 4.510
-10.122 4.073 4.154
C Pm Hg
2 12 4
Direct
0.500 0.500 0.500
0.000 0.000 0.000
0.244 0.244 0.000
0.809 0.191 0.850
0.756 0.756 0.000
0.691 0.691 0.650
0.691 0.691 0.350
0.309 0.309 0.350
0.191 0.809 0.850
0.809 0.191 0.150
0.744 0.256 0.500
0.256 0.744 0.500
0.309 0.309 0.650
0.191 0.809 0.150
0.500 0.500 0.141
0.000 0.000 0.641
0.000 0.000 0.359
0.500 0.500 0.859
```

Computed properties:
As for the crystal system: tetragonal. The space-group type is No. 136.

---

Each structure's energy above the most stable one, in eV/atom: run one 0.000; run two 0.235.